[1]
10
Lattice="-3.9908 -2.6901 -2.7912 -0.6017 -3.5276 4.2601 -2.3455 2.0564 1.3716" Properties=species:S:1:pos:R:3 comment="Ti2B2P, relaxed, DFT PBE" dos_ef_per_ev_cell=7.16 e_above_lowest_polymorph_mev_per_atom=0 magnetic_moment_mub_per_fu=0.00 e_form_ev_per_fu=-2.7 spacegroup="No. 127" total_energy_ev_per_atom=-7.44 pbc="T T T"
P -2.2963 -3.1088 0.7344
B -0.6668 -1.6734 1.3686
Ti -2.5493 -0.4698 0.5778
Ti -4.3887 -3.6915 2.2626
B -2.1012 -4.2013 2.7058
B -2.4913 -2.0164 -1.2370
B -3.9257 -4.5443 0.1002
P 0.0000 0.0000 0.0000
Ti -2.3122 -1.8710 3.0840
Ti -4.6258 -2.2903 -0.2436

***

[2]
8
Lattice="6.2896 0.0000 0.0000 0.0000 6.2896 0.0000 3.1448 3.1448 2.7126" Properties=species:S:1:pos:R:3 comment="Ti2BP, relaxed, DFT PBE" dos_ef_per_ev_cell=0.71 e_above_lowest_polymorph_mev_per_atom=537 magnetic_moment_mub_per_fu=0.00 e_form_ev_per_fu=-1.6 spacegroup="No. 122" total_energy_ev_per_atom=-7.38 pbc="T T T"
B 3.1448 6.2896 1.3563
Ti 7.8620 7.7090 2.0345
Ti 1.7254 4.7172 0.6782
P 0.0000 0.0000 0.0000
Ti 4.5642 1.5724 0.6782
Ti 4.7172 4.8702 2.0345
P 6.2896 3.1448 1.3563
B 3.1448 3.1448 0.0000